## A
VASP calculation (meta-GGA SCAN) on a PBEsol-optimized structure of Cd3Hg4.

Output
Volume   159 Å³ per cell
SG   P6/mmm (191)
Mass density   11.88 Mg/m³

Cell lengths 5.7062, 5.7062, 5.6480 Å; angles 90.00, 90.00, 120.00 degrees
Positions (direct):
Cd 0.0000 0.5000 0.0000
Cd 0.5000 0.0000 0.0000
Cd 0.5000 0.5000 0.0000
Hg 0.0000 0.0000 0.7431
Hg 0.0000 0.0000 0.2569
Hg 0.3333 0.6667 0.5000
Hg 0.6667 0.3333 0.5000

=====

## B
VASP calculation (meta-GGA SCAN) on a PBEsol-optimized structure of Cd3Hg4.

Output
Volume   154 Å³ per cell
SG   I4/mmm (139)
Mass density   12.25 Mg/m³

Cell lengths 3.9254, 3.9254, 10.3993 Å; angles 100.88, 100.88, 90.00 degrees
Positions (direct):
Cd 0.0000 0.0000 0.0000
Cd 0.2862 0.2862 0.5724
Cd 0.7138 0.7138 0.4276
Hg 0.1438 0.1438 0.2876
Hg 0.4284 0.4284 0.8568
Hg 0.5716 0.5716 0.1432
Hg 0.8562 0.8562 0.7124

=====

Which structure is the least stable? The one labeled A.